Compound: Nb2VTeOs
Source: Alexandria
Functional: PBE
Structure: relaxed

Properties
**D(E_F)**: 1.327 states/eV per atom
**Space-group type**: No. 123
**Formation energy without anion corrections**: 5.23 eV/f.u.

abc: 4.7008 4.7008 4.5945
angles: 90.00 90.00 90.00
Last column: nearest neighbours and their distance in Å.
Atoms (fractional coordinates):
Nb  0.0000  0.5000  0.0000  2 V 2.35
Nb  0.5000  0.0000  0.0000  2 V 2.35
V  0.0000  0.0000  0.0000  2 Os 2.30, 4 Nb 2.35
Te  0.5000  0.5000  0.5000  8 Nb 3.29, 4 Os 3.32
Os  0.0000  0.0000  0.5000  2 V 2.30